(1)
Material: CrSbW2
Method: DFT, SCAN
State: single point on PBEsol structure

abc: 2.9836 2.9836 7.1342
angles: 90.00 90.00 90.00
Space group P4/mmm (No. 123)
One atom of each set of equivalent atoms:
Cr: 0.0000 0.0000 0.0000 x1
Sb: 0.0000 0.0000 0.5000 x1
W: 0.5000 0.5000 0.2119 x2



(2)
Material: CrSbW2
Method: DFT, SCAN
State: single point on PBEsol structure

abc: 3.2558 4.3623 4.4137
angles: 90.00 90.00 90.00
Space group Pmmm (No. 47)
One atom of each set of equivalent atoms:
Cr: 0.0000 0.0000 0.0000 x1
Sb: 0.5000 0.5000 0.0000 x1
W: 0.0000 0.5000 0.5000 x1
W: 0.5000 0.0000 0.5000 x1



(3)
Material: Cr2SbW
Method: DFT, SCAN
State: single point on PBEsol structure

abc: 2.9248 3.8727 5.2981
angles: 90.00 98.14 90.00
Space group Pm (No. 6)
One atom of each set of equivalent atoms:
Cr: 0.0000 0.0000 0.0000 x1
Cr: 0.3634 0.5000 0.2139 x1
Sb: 0.9509 0.0000 0.4834 x1
W: 0.5507 0.5000 0.7852 x1



(4)
Material: CrSbW2
Method: DFT, SCAN
State: single point on PBEsol structure

abc: 2.9443 4.0820 5.3157
angles: 90.00 97.73 90.00
Space group P2/m (No. 10)
One atom of each set of equivalent atoms:
Cr: 0.0000 0.0000 0.0000 x1
Sb: 0.0000 0.0000 0.5000 x1
W: 0.4151 0.5000 0.2263 x2



(5)
Material: CrSbW2
Method: DFT, SCAN
State: single point on PBEsol structure

abc: 4.0065 4.0065 7.8673
angles: 90.00 90.00 90.00
Space group I-4m2 (No. 119)
One atom of each set of equivalent atoms:
Cr: 0.0000 0.0000 0.0000 x2
Sb: 0.0000 0.5000 0.2500 x2
W: 0.0000 0.0000 0.5000 x2
W: 0.0000 0.5000 0.7500 x2



(6)
Material: CrSbW
Method: DFT, SCAN
State: single point on PBEsol structure

abc: 6.1713 6.1713 6.1713
angles: 90.00 90.00 90.00
Space group F-43m (No. 216)
One atom of each set of equivalent atoms:
Cr: 0.0000 0.0000 0.0000 x4
Sb: 0.2500 0.2500 0.2500 x4
W: 0.0000 0.0000 0.5000 x4



(7)
Material: CrSbW2
Method: DFT, SCAN
State: single point on PBEsol structure

abc: 3.2649 4.3349 8.7529
angles: 90.00 90.00 90.00
Space group Imm2 (No. 44)
One atom of each set of equivalent atoms:
Cr: 0.0000 0.0000 0.0000 x2
Sb: 0.0000 0.5000 0.7444 x2
W: 0.0000 0.0000 0.5081 x2
W: 0.0000 0.5000 0.2600 x2



(8)
Material: CrSbW2
Method: DFT, SCAN
State: single point on PBEsol structure

abc: 2.9872 2.9872 25.1970
angles: 90.00 90.00 120.00
Space group R-3m (No. 166, hexagonal axes)
One atom of each set of equivalent atoms:
Cr: 0.0000 0.0000 0.0000 x3
Sb: 0.0000 0.0000 0.5000 x3
W: 0.0000 0.0000 0.2596 x6



(9)
Material: YCrSb2
Method: DFT, SCAN
State: single point on PBEsol structure

abc: 5.3071 5.3071 6.5236
angles: 90.00 90.00 90.00
Space group I4/mmm (No. 139)
One atom of each set of equivalent atoms:
Y: 0.0000 0.0000 0.0000 x2
Cr: 0.0000 0.0000 0.5000 x2
Sb: 0.0000 0.5000 0.2500 x4



(10)
Material: YCr2Sb
Method: DFT, SCAN
State: single point on PBEsol structure

abc: 3.3558 3.3558 6.3742
angles: 90.00 90.00 90.00
Space group P4/mmm (No. 123)
One atom of each set of equivalent atoms:
Y: 0.0000 0.0000 0.0000 x1
Cr: 0.5000 0.5000 0.2853 x2
Sb: 0.0000 0.0000 0.5000 x1



(11)
Material: Y3CrSb
Method: DFT, SCAN
State: single point on PBEsol structure

abc: 5.6031 5.6031 5.6031
angles: 90.00 90.00 90.00
Space group Pm-3m (No. 221)
One atom of each set of equivalent atoms:
Y: 0.0000 0.0000 0.5000 x3
Cr: 0.5000 0.5000 0.5000 x1
Sb: 0.0000 0.0000 0.0000 x1



(12)
Material: Zn2CrSb
Method: DFT, SCAN
State: single point on PBEsol structure

abc: 8.5162 3.1489 5.2569
angles: 90.00 99.85 90.00
Space group Cm (No. 8)
One atom of each set of equivalent atoms:
Zn: 0.0000 0.0000 0.0000 x2
Zn: 0.2386 0.5000 0.1724 x2
Cr: 0.2578 0.0000 0.7686 x2
Sb: 0.0132 0.5000 0.5121 x2



Number 1: D(E_F) 3.1 states/eV/f.u., final energy -192.58 eV per cell. Number 2: D(E_F) 2.2 states/eV/f.u., final energy -193.19 eV per cell. Number 3: D(E_F) 2.8 states/eV/f.u., final energy -141.87 eV per cell. Number 4: D(E_F) 3.1 states/eV/f.u., final energy -192.71 eV per cell. Number 5: D(E_F) 2.7 states/eV/f.u., final energy -385.91 eV per cell. Number 6: D(E_F) 3.2 states/eV/f.u., final energy -490.72 eV per cell. Number 7: D(E_F) 3.1 states/eV/f.u., final energy -385.92 eV per cell. Number 8: D(E_F) 3.1 states/eV/f.u., final energy -576.37 eV per cell. Number 9: D(E_F) 2.0 states/eV/f.u., final energy -244.23 eV per cell. Number 10: D(E_F) 3.0 states/eV/f.u., final energy -101.05 eV per cell. Number 11: D(E_F) 5.6 states/eV/f.u., final energy -137.97 eV per cell. Number 12: D(E_F) 1.8 states/eV/f.u., final energy -164.27 eV per cell.